1.
A geometry-optimized Ce2InSb3 structure, computed with PBE.

Lattice parameters (Å, degrees): 4.4265 4.4265 8.6471 90.00 90.00 90.00
Last column: nearest neighbours and their distance in Å.
Sites, in units of the cell vectors:
Ce 0.5000 0.0000 0.7022  7 Sb 3.15-3.40, 2 In 3.40
Ce 0.0000 0.5000 0.2978  7 Sb 3.15-3.40, 2 In 3.40
In 0.5000 0.5000 0.0000  4 Sb 3.13, 4 Ce 3.40
Sb 0.5000 0.0000 0.3362  5 Ce 3.15-3.16
Sb 0.0000 0.5000 0.6638  5 Ce 3.15-3.16
Sb 0.0000 0.0000 0.0000  4 In 3.13, 4 Ce 3.40

Computed properties:
- Crystal system: tetragonal
- ΔE_f (raw): -0.72 eV per atom
- DOS(E_F): 0.914 states/eV/atom
- Mass density: 7452 kg/m3


2.
A geometry-optimized B2C structure, computed with PBE.

Lattice parameters (Å, degrees): 2.6843 3.6967 9.1116 90.00 90.00 90.00
Last column: nearest neighbours and their distance in Å.
Sites, in units of the cell vectors:
B 0.5000 0.5449 0.5628  4 B 1.74-1.88
B 0.0000 0.2144 0.6152  1 C 1.61, 1 B 1.74
B 0.5000 0.8492 0.7116  2 C 1.56
B 0.0000 0.3492 0.2884  2 C 1.56
B 0.0000 0.0449 0.4372  4 B 1.74-1.88
B 0.5000 0.7144 0.3848  1 C 1.61, 1 B 1.74
B 0.5000 0.4090 0.9585  3 C 1.56-1.64
B 0.0000 0.9090 0.0415  3 C 1.56-1.64
C 0.0000 0.0083 0.7715  1 C 1.53, 3 B 1.56-1.61
C 0.5000 0.5083 0.2285  1 C 1.53, 3 B 1.56-1.61
C 0.0000 0.2242 0.9151  1 C 1.53, 3 B 1.56-1.64
C 0.5000 0.7242 0.0849  1 C 1.53, 3 B 1.56-1.64

Computed properties:
- Crystal system: orthorhombic
- Formation energy: 0.48 eV per atom
- DOS(E_F): 0.251 states/eV/atom
- Mass density: 2471 kg/m3
- Distance to the lowest polymorph of the same formula: 296 meV/atom


3.
A geometry-optimized LiTl2PtN structure, computed with PBE.

Lattice parameters (Å, degrees): 5.7438 3.7191 5.7438 90.00 90.00 90.00
Last column: nearest neighbours and their distance in Å.
Sites, in units of the cell vectors:
Tl 0.0000 0.0000 0.5000  2 N 2.87
Tl 0.5000 0.0000 0.0000  2 N 2.87
Li 0.5000 0.5000 0.5000  8 Tl 3.42, 2 Li 3.72
Pt 0.0000 0.5000 0.0000  2 N 1.86
N 0.0000 0.0000 0.0000  2 Pt 1.86

Computed properties:
- Crystal system: tetragonal
- ΔE_f (raw): 0.24 eV per atom
- DOS(E_F): 0.567 states/eV/atom
- Mass density: 8456 kg/m3


4.
A geometry-optimized TlAgGeSe3 structure, computed with PBE.

Lattice parameters (Å, degrees): 3.8866 7.5545 12.1566 104.50 90.00 90.00
Last column: nearest neighbours and their distance in Å.
Sites, in units of the cell vectors:
Tl 0.2500 0.1993 0.3201  4 Se 3.15-3.33
Tl 0.7500 0.8007 0.6799  4 Se 3.15-3.33
Ag 0.2500 0.6462 0.0468  3 Se 2.63-2.75, 2 Ag 2.95
Ag 0.7500 0.3538 0.9532  3 Se 2.63-2.75, 2 Ag 2.95
Ge 0.2500 0.3207 0.7135  4 Se 2.35-2.48
Ge 0.7500 0.6793 0.2865  4 Se 2.35-2.48
Se 0.7500 0.8750 0.1631  1 Ge 2.35
Se 0.2500 0.1250 0.8369  1 Ge 2.35
Se 0.2500 0.7328 0.4174  2 Ge 2.48
Se 0.7500 0.2672 0.5826  2 Ge 2.48
Se 0.7500 0.3752 0.1728  1 Ge 2.37, 1 Ag 2.63
Se 0.2500 0.6248 0.8272  1 Ge 2.37, 1 Ag 2.63

Computed properties:
- Crystal system: monoclinic
- ΔE_f (raw): -0.26 eV per atom
- DOS(E_F): 0.107 states/eV/atom
- Mass density: 5975 kg/m3


So what do the calculations give for total DFT energy (no corrections)? Going down the list: -31.32, -21.13, -19.80, -21.83 eV/f.u..